# 1
# AlInTe, relaxed, DFT PBE
# Density of states at the Fermi level = 1.5 states/eV/cell
# Raw formation energy = -0.091 eV per atom
# Offset from the most stable computed form = 0.121 eV per formula unit
data_AlInTe
_chemical_formula_sum 'Al1 In1 Te1'
_space_group_name_H-M_alt 'P 3 m 1'
_space_group_IT_number 156
_cell_length_a 4.0951
_cell_length_b 4.0951
_cell_length_c 5.6551
_cell_angle_alpha 90.00
_cell_angle_beta 90.00
_cell_angle_gamma 120.00
loop_
_space_group_symop_operation_xyz
'x,y,z'
'-y,x-y,z'
'-x+y,-x,z'
'-y,-x,z'
'-x+y,y,z'
'x,x-y,z'
loop_
_atom_site_label
_atom_site_fract_x
_atom_site_fract_y
_atom_site_fract_z
_atom_site_occupancy
Al1 0.0000 0.0000 0.0000 1
In1 0.3333 0.6667 0.3226 1
Te1 0.6667 0.3333 0.7285 1

=====

# 2
# Al2InTe, relaxed, DFT PBE
# Density of states at the Fermi level = 5.4 states/eV/cell
# Raw formation energy = 0.050 eV per atom
# Offset from the most stable computed form = 0.066 eV per formula unit
data_Al2InTe
_chemical_formula_sum 'Al6 In3 Te3'
_space_group_name_H-M_alt 'R -3 m'
_space_group_IT_number 166
_space_group_name_Hall '-R 3 2"'
_cell_length_a 3.8920
_cell_length_b 3.8920
_cell_length_c 22.3758
_cell_angle_alpha 90.00
_cell_angle_beta 90.00
_cell_angle_gamma 120.00
loop_
_atom_site_label
_atom_site_fract_x
_atom_site_fract_y
_atom_site_fract_z
_atom_site_occupancy
Al1 0.0000 0.0000 0.2485 1
In1 0.0000 0.0000 0.0000 1
Te1 0.0000 0.0000 0.5000 1

=====

# 3
# Al2In2Te, relaxed, DFT PBE
# Density of states at the Fermi level = 5.4 states/eV/cell
# Raw formation energy = 0.107 eV per atom
# Offset from the most stable computed form = 0.000 eV per formula unit
data_Al2In2Te
_chemical_formula_sum 'Al4 In4 Te2'
_space_group_name_H-M_alt 'I 4/m m m'
_space_group_IT_number 139
_space_group_name_Hall '-I 4 2'
_cell_length_a 3.914
_cell_length_b 3.914
_cell_length_c 16.604
_cell_angle_alpha 90.00
_cell_angle_beta 90.00
_cell_angle_gamma 90.00
loop_
_atom_site_label
_atom_site_fract_x
_atom_site_fract_y
_atom_site_fract_z
_atom_site_occupancy
Al1 0.000 0.500 0.250 1
In1 0.000 0.000 0.102 1
Te1 0.000 0.000 0.500 1

=====

# 4
# Al2InTe, relaxed, DFT PBE
# Density of states at the Fermi level = 1.0 states/eV/cell
# Raw formation energy = 0.069 eV per atom
# Offset from the most stable computed form = 0.140 eV per formula unit
data_Al2InTe
_chemical_formula_sum 'Al2 In1 Te1'
_space_group_name_H-M_alt 'P 4 m m'
_space_group_IT_number 99
_cell_length_a 3.696
_cell_length_b 3.696
_cell_length_c 7.308
_cell_angle_alpha 90.00
_cell_angle_beta 90.00
_cell_angle_gamma 90.00
loop_
_space_group_symop_operation_xyz
'x,y,z'
'-y,x,z'
'-x,-y,z'
'y,-x,z'
'-x,y,z'
'y,x,z'
'x,-y,z'
'-y,-x,z'
loop_
_atom_site_label
_atom_site_fract_x
_atom_site_fract_y
_atom_site_fract_z
_atom_site_occupancy
Al1 0.000 0.000 0.000 1
Al2 0.500 0.500 0.201 1
In1 0.000 0.000 0.427 1
Te1 0.500 0.500 0.818 1

=====

# 5
# AlInTe, relaxed, DFT PBE
# Density of states at the Fermi level = 3.0 states/eV/cell
# Raw formation energy = 0.015 eV per atom
# Offset from the most stable computed form = 0.441 eV per formula unit
data_AlInTe
_chemical_formula_sum 'Al2 In2 Te2'
_space_group_name_H-M_alt 'I 4 m m'
_space_group_IT_number 107
_space_group_name_Hall 'I 4 -2'
_cell_length_a 3.692
_cell_length_b 3.692
_cell_length_c 11.676
_cell_angle_alpha 90.00
_cell_angle_beta 90.00
_cell_angle_gamma 90.00
loop_
_atom_site_label
_atom_site_fract_x
_atom_site_fract_y
_atom_site_fract_z
_atom_site_occupancy
Al1 0.000 0.000 0.000 1
In1 0.000 0.000 0.326 1
Te1 0.000 0.000 0.607 1

=====

# 6
# Al2InTe, relaxed, DFT PBE
# Density of states at the Fermi level = 2.4 states/eV/cell
# Raw formation energy = 0.125 eV per atom
# Offset from the most stable computed form = 0.367 eV per formula unit
data_Al2InTe
_chemical_formula_sum 'Al4 In2 Te2'
_space_group_name_H-M_alt 'C 1 2/m 1'
_space_group_IT_number 12
_cell_length_a 5.918
_cell_length_b 10.400
_cell_length_c 4.329
_cell_angle_alpha 90.00
_cell_angle_beta 132.38
_cell_angle_gamma 90.00
loop_
_space_group_symop_operation_xyz
'x,y,z'
'-x,-y,-z'
'-x,y,-z'
'x,-y,z'
'x+1/2,y+1/2,z'
'-x+1/2,-y+1/2,-z'
'-x+1/2,y+1/2,-z'
'x+1/2,-y+1/2,z'
loop_
_atom_site_label
_atom_site_fract_x
_atom_site_fract_y
_atom_site_fract_z
_atom_site_occupancy
Al1 0.250 0.250 0.000 1
In1 0.000 0.000 0.500 1
Te1 0.000 0.500 0.500 1